The following is a meta-GGA SCAN calculation of Sc2BeCl at its PBEsol-relaxed geometry, from Alexandria via LeMat-Bulk.

## Properties
Formation energy from raw total energies in eV/f.u.: -1.1
Total energy in eV for the cell shown: -83.83

abc: 3.7175 5.3755 7.1799
angles: 90.00 90.00 90.00
Last column: nearest neighbours and their distance in Å.
Atoms (fractional coordinates):
Sc  0.0000  0.0000  0.2375  2 Cl 2.52, 2 Be 2.65
Sc  0.0000  0.0000  0.7625  2 Cl 2.52, 2 Be 2.65
Sc  0.5000  0.5000  0.2625  2 Cl 2.52, 2 Be 2.65
Sc  0.5000  0.5000  0.7375  2 Cl 2.52, 2 Be 2.65
Be  0.0000  0.5000  0.0000  4 Sc 2.65
Be  0.5000  0.0000  0.5000  4 Sc 2.65
Cl  0.0000  0.5000  0.5000  4 Sc 2.52
Cl  0.5000  0.0000  0.0000  4 Sc 2.52

=====

The following is a meta-GGA SCAN calculation of BeSe2Cl at its PBEsol-relaxed geometry, from Alexandria via LeMat-Bulk.

## Properties
Formation energy from raw total energies in eV/f.u.: -1.7
Total energy in eV for the cell shown: -108.39

abc: 11.0861 3.0955 5.3202
angles: 90.00 106.77 90.00
Last column: nearest neighbours and their distance in Å.
Atoms (fractional coordinates):
Be  0.0000  0.0000  0.0000  2 Cl 2.12
Be  0.5000  0.5000  0.0000  2 Cl 2.12
Se  0.0646  0.5000  0.3799  1 Se 2.29, 2 Be 2.48
Se  0.1840  0.5000  0.0927  1 Se 2.29, 2 Be 2.49
Se  0.5646  0.0000  0.3799  1 Se 2.29, 2 Be 2.48
Se  0.6840  0.0000  0.0927  1 Se 2.29, 2 Be 2.49
Cl  0.3870  0.0000  0.7768  2 Be 2.12
Cl  0.8870  0.5000  0.7768  2 Be 2.12

=====

no.,total magnetization (Bohr magnetons per cell)
1,0.000
2,0.000